{
  "formula": "HfPdPt2",
  "functional": "PBE",
  "state": "optimized geometry",
  "spacegroup": "I-42d (122)",
  "total_energy_ev_per_atom": -7.355,
  "total_magnetization_mub_per_atom": 0.00,
  "dos_at_fermi_per_ev_cell": 2.4,
  "cell": [[-1.440, -2.463, -6.701], [-4.603, -4.906, 2.792], [-5.078, -1.881, -2.176]],
  "species": ["Pd", "Pd", "Pt", "Pt", "Pt", "Pt", "Hf", "Hf"],
  "fractional_positions": [[0.500, 0.500, 0.000], [0.250, 0.750, 0.500], [0.115, 0.625, 0.250], [0.635, 0.125, 0.250], [0.375, 0.365, 0.750], [0.875, 0.885, 0.750], [0.750, 0.250, 0.500], [0.000, 0.000, 0.000]]
}

=====

{
  "formula": "HfPd2Pt5",
  "functional": "PBE",
  "state": "optimized geometry",
  "de_polymorph_kj_per_mol_atoms": 0.7,
  "spacegroup": "Pbam (55)",
  "total_energy_ev_per_atom": -6.867,
  "total_magnetization_mub_per_atom": 0.00,
  "dos_at_fermi_per_ev_cell": 19.2,
  "cell": [[-2.806, 2.194, -1.735], [-3.163, -4.627, -0.734], [-4.915, 1.748, 10.163]],
  "species": ["Pt", "Pt", "Pt", "Pt", "Pt", "Pt", "Pt", "Pt", "Pt", "Pt", "Pd", "Pd", "Pd", "Pd", "Hf", "Hf"],
  "fractional_positions": [[0.000, 0.500, 0.500], [0.000, 0.507, 0.243], [0.000, 0.007, 0.257], [0.500, 0.253, 0.377], [0.000, 0.493, 0.757], [0.000, 0.993, 0.743], [0.000, 0.000, 0.000], [0.500, 0.247, 0.877], [0.500, 0.753, 0.123], [0.500, 0.747, 0.623], [0.500, 0.749, 0.876], [0.500, 0.249, 0.624], [0.500, 0.251, 0.124], [0.500, 0.751, 0.376], [0.000, 0.500, 0.000], [0.000, 0.000, 0.500]]
}

=====

{
  "formula": "Hf2PdPt4",
  "functional": "PBE",
  "state": "optimized geometry",
  "spacegroup": "I4/mmm (139)",
  "total_energy_ev_per_atom": -6.845,
  "total_magnetization_mub_per_atom": 0.00,
  "dos_at_fermi_per_ev_cell": 2.2,
  "cell": [[-3.042, 0.664, -3.719], [-3.275, -2.844, 2.171], [-5.711, 4.161, 2.253]],
  "species": ["Pt", "Pt", "Pt", "Pt", "Pd", "Hf", "Hf"],
  "fractional_positions": [[0.801, 0.801, 0.398], [0.500, 0.000, 0.000], [0.000, 0.500, 0.000], [0.199, 0.199, 0.602], [0.000, 0.000, 0.000], [0.617, 0.617, 0.766], [0.383, 0.383, 0.234]]
}

=====

{
  "formula": "HfPd2Pt",
  "functional": "PBE",
  "state": "optimized geometry",
  "spacegroup": "I-42d (122)",
  "total_energy_ev_per_atom": -6.984,
  "total_magnetization_mub_per_atom": 0.00,
  "dos_at_fermi_per_ev_cell": 2.2,
  "cell": [[7.263, 0.000, 0.000], [0.000, 7.263, 0.000], [3.631, 3.631, 2.725]],
  "species": ["Pd", "Pd", "Pd", "Pd", "Hf", "Hf", "Pt", "Pt"],
  "fractional_positions": [[0.133, 0.625, 0.250], [0.875, 0.867, 0.750], [0.617, 0.125, 0.250], [0.375, 0.383, 0.750], [0.250, 0.750, 0.500], [0.500, 0.500, 0.000], [0.750, 0.250, 0.500], [0.000, 0.000, 0.000]]
}

=====

{
  "formula": "Hf2Pd2Pt",
  "functional": "PBE",
  "state": "optimized geometry",
  "de_polymorph_kj_per_mol_atoms": 34.0,
  "spacegroup": "Cmmm (65)",
  "total_energy_ev_per_atom": -7.662,
  "total_magnetization_mub_per_atom": 0.00,
  "dos_at_fermi_per_ev_cell": 2.5,
  "cell": [[3.990, -0.844, 0.216], [-0.458, 4.053, 0.216], [-0.415, -0.377, 6.201]],
  "species": ["Hf", "Hf", "Pt", "Pd", "Pd"],
  "fractional_positions": [[0.500, 0.500, 0.759], [0.500, 0.500, 0.241], [0.000, 0.000, 0.000], [0.812, 0.188, 0.500], [0.188, 0.812, 0.500]]
}

=====

{
  "formula": "Hf4Pd2Pt",
  "functional": "PBE",
  "state": "optimized geometry",
  "spacegroup": "I4/mmm (139)",
  "total_energy_ev_per_atom": -8.020,
  "total_magnetization_mub_per_atom": 0.00,
  "dos_at_fermi_per_ev_cell": 9.1,
  "cell": [[4.984, 0.000, 0.000], [0.000, 4.984, 0.000], [2.492, 2.492, 6.626]],
  "species": ["Hf", "Hf", "Hf", "Hf", "Pd", "Pd", "Pt"],
  "fractional_positions": [[0.500, 0.000, 0.000], [0.801, 0.801, 0.399], [0.000, 0.500, 0.000], [0.199, 0.199, 0.601], [0.393, 0.393, 0.214], [0.607, 0.607, 0.786], [0.000, 0.000, 0.000]]
}